# 1
8
Lattice="-1.405 7.244 -1.162 -3.081 0.231 5.164 1.006 1.130 5.824" Properties=species:S:1:pos:R:3 comment="Sr2Ga4PdPt (PBE, optimized geometry)" spacegroup="No. 38" pbc="T T T"
Ga -0.781 2.457 1.491
Ga -1.322 5.245 1.044
Ga -1.998 2.529 8.924
Ga -2.861 6.980 8.210
Pd -0.576 0.378 3.052
Pt -2.201 4.604 7.355
Sr -1.630 4.230 4.329
Sr -1.145 0.751 6.063


# 2
8
Lattice="-1.969 -3.410 0.000 0.000 0.000 6.106 -6.140 3.545 0.000" Properties=species:S:1:pos:R:3 comment="BaErNO (PBE, optimized geometry)" spacegroup="No. 26" pbc="T T T"
Ba -2.085 -1.069 6.031
Ba -6.024 1.205 2.978
Er -2.117 1.222 3.009
Er -4.023 2.323 6.062
N -2.304 1.330 5.157
N -3.836 2.215 2.104
O -2.222 -0.990 2.620
O -5.887 1.126 5.673


# 3
8
Lattice="4.540 0.000 0.000 0.000 4.540 0.000 0.000 0.000 6.420" Properties=species:S:1:pos:R:3 comment="Li2Mg2ZnGaAg2 (PBE, optimized geometry)" spacegroup="No. 115" pbc="T T T"
Ag 0.000 2.270 1.604
Ag 2.270 0.000 4.816
Ga 0.000 0.000 0.000
Li 2.270 0.000 1.609
Li 0.000 2.270 4.812
Mg 2.270 2.270 0.000
Mg 0.000 0.000 3.210
Zn 2.270 2.270 3.210


# 4
5
Lattice="4.666 -3.202 1.262 0.815 -1.989 5.384 -4.205 0.200 -3.987" Properties=species:S:1:pos:R:3 comment="SmCuSi2Ir (PBE, optimized geometry)" spacegroup="No. 119" pbc="T T T"
Cu 1.601 -2.799 0.299
Ir -0.325 -2.193 2.360
Si 2.080 -1.970 2.522
Si 3.401 -3.221 4.124
Sm 0.000 0.000 0.000


# 5
6
Lattice="-0.274 3.345 1.332 -0.665 -1.360 3.278 11.898 0.010 2.419" Properties=species:S:1:pos:R:3 comment="HoTm2Tl3 (PBE, optimized geometry)" spacegroup="No. 123" pbc="T T T"
Ho 5.949 0.005 1.210
Tl -0.470 0.992 2.305
Tl 3.476 0.996 3.107
Tl 7.483 0.999 3.922
Tm 1.974 0.002 0.401
Tm 9.924 0.008 2.018


# 6
3
Lattice="4.983 0.438 0.929 1.641 3.151 3.642 1.961 -1.884 4.300" Properties=species:S:1:pos:R:3 comment="PrNdTa (PBE, optimized geometry)" formation_enthalpy_0k_ev_per_atom=1.314 spacegroup="No. 216" pbc="T T T"
Nd 0.000 0.000 0.000
Pr 2.146 0.426 2.218
Ta 6.439 1.279 6.653


# 7
8
Lattice="-5.061 -0.273 5.120 -1.372 -2.631 -6.565 1.907 -5.032 1.617" Properties=species:S:1:pos:R:3 comment="Dy3Ho (PBE, optimized geometry)" formation_enthalpy_0k_ev_per_atom=0.007 spacegroup="No. 194" pbc="T T T"
Dy -0.687 -1.316 -3.282
Dy -3.217 -1.452 -0.723
Dy -3.902 -2.767 -4.005
Dy -0.964 -3.046 1.422
Dy -3.492 -3.182 3.980
Dy -4.178 -4.496 0.700
Ho 0.000 0.000 0.000
Ho -1.648 -4.361 -1.861


# 8
14
Lattice="3.092 2.511 5.394 1.059 2.717 -6.038 -5.929 0.780 3.033" Properties=species:S:1:pos:R:3 comment="Er2AgO4 (PBE, optimized geometry)" spacegroup="No. 227" pbc="T T T"
Ag 0.000 0.000 0.000
Ag 1.366 3.437 1.785
Er 1.213 3.077 -2.127
Er -1.752 3.467 -0.610
Er -2.282 2.108 2.409
Er -0.736 3.364 5.106
O -0.962 2.846 -2.613
O -0.190 2.436 3.141
O 0.402 3.954 -0.231
O -1.757 1.436 0.337
O -2.806 2.780 4.481
O -3.906 2.979 -0.989
O -4.373 1.781 1.676
O -2.542 4.088 1.392


# 9
4
Lattice="3.862 -1.684 0.109 0.607 -3.967 -1.288 2.071 -0.756 -3.592" Properties=species:S:1:pos:R:3 comment="FeAgBPt (PBE, optimized geometry)" spacegroup="No. 216" pbc="T T T"
Ag 3.270 -3.203 -2.386
B 0.000 0.000 0.000
Fe 4.905 -4.805 -3.579
Pt 1.635 -1.602 -1.193


# 10
12
Lattice="7.546 0.000 0.000 0.000 3.907 0.000 -2.327 0.000 9.149" Properties=species:S:1:pos:R:3 comment="GdCuSnS3 (PBE, optimized geometry)" spacegroup="No. 11" pbc="T T T"
Cu 0.394 0.977 0.800
Cu 4.825 2.930 8.349
Gd 1.479 2.930 3.150
Gd 3.740 0.977 5.999
S 1.753 2.930 0.397
S -0.453 0.977 2.983
S 3.441 0.977 3.236
S 1.777 2.930 5.913
S 5.672 2.930 6.166
S 3.466 0.977 8.752
Sn 5.243 2.930 1.790
Sn -0.025 0.977 7.359


# 11
22
Lattice="3.905 -1.765 0.000 3.905 1.765 0.000 -0.079 0.000 29.651" Properties=species:S:1:pos:R:3 comment="Ni10Bi (PBE, optimized geometry)" spacegroup="No. 12" pbc="T T T"
Bi 6.592 0.000 8.638
Bi 1.139 0.000 21.013
Ni 6.637 0.000 0.392
Ni 4.292 0.000 1.171
Ni 1.948 0.000 1.956
Ni 7.415 0.000 2.735
Ni 5.073 0.000 3.515
Ni 2.731 0.000 4.300
Ni 0.390 0.000 5.076
Ni 5.854 0.000 5.855
Ni 3.523 0.000 6.653
Ni 1.139 0.000 7.411
Ni 6.592 0.000 22.240
Ni 4.208 0.000 22.999
Ni 1.877 0.000 23.796
Ni 7.341 0.000 24.575
Ni 5.000 0.000 25.352
Ni 2.658 0.000 26.137
Ni 0.316 0.000 26.916
Ni 5.783 0.000 27.695
Ni 3.438 0.000 28.481
Ni 1.093 0.000 29.259


# 12
3
Lattice="0.000 3.187 3.187 3.187 0.000 3.187 3.187 3.187 0.000" Properties=species:S:1:pos:R:3 comment="DyAlSi (PBE, optimized geometry)" spacegroup="No. 216" pbc="T T T"
Al 1.593 1.593 1.593
Dy 4.780 4.780 4.780
Si 0.000 0.000 0.000


no.,total DFT energy (no corrections) (eV per atom)
1,-4.023
2,-6.875
3,-2.342
4,-6.393
5,-3.732
6,-5.816
7,-4.588
8,-6.957
9,-5.276
10,-5.141
11,-5.414
12,-4.786